Ac2BiTeO8 (PBE-GGA, relaxed); uncorrected energy = -6.53 eV/atom; total magnetic moment = 0.83 μB/f.u.; density of states at the Fermi level = 3.08 states/eV/f.u.
1.0
3.663 -3.829 0.000
3.663 3.829 0.000
-0.103 0.000 7.241
Ac Bi Te O
2 1 1 8
direct
0.032 0.032 0.260
0.968 0.968 0.740
0.500 0.500 0.000
0.500 0.500 0.500
0.204 0.204 0.979
0.238 0.238 0.531
0.301 0.644 0.292
0.356 0.699 0.708
0.644 0.301 0.292
0.699 0.356 0.708
0.762 0.762 0.469
0.796 0.796 0.021

LiScSnOs (PBE-GGA, relaxed); uncorrected energy = -6.19 eV/atom; total magnetic moment = 0.00 μB/f.u.; density of states at the Fermi level = 4.36 states/eV/f.u.; calculated formation energy = -125.6 kJ/mol of formula units
1.0
0.000 3.245 3.245
3.245 0.000 3.245
3.245 3.245 0.000
Li Sc Sn Os
1 1 1 1
direct
0.000 0.000 0.000
0.750 0.750 0.750
0.250 0.250 0.250
0.500 0.500 0.500

SrHfSbO6 (PBE-GGA, relaxed); uncorrected energy = -7.38 eV/atom; total magnetic moment = 1.07 μB/f.u.; density of states at the Fermi level = 6.20 states/eV/f.u.
1.0
5.504 0.000 0.000
-2.752 4.766 0.000
0.000 0.000 10.581
Sr Hf Sb O
2 2 2 12
direct
0.000 0.000 0.000
0.000 0.000 0.500
0.333 0.667 0.250
0.667 0.333 0.750
0.333 0.667 0.750
0.667 0.333 0.250
0.011 0.380 0.646
0.011 0.631 0.854
0.369 0.380 0.854
0.369 0.989 0.646
0.380 0.011 0.146
0.380 0.369 0.354
0.620 0.631 0.646
0.620 0.989 0.854
0.631 0.011 0.354
0.631 0.620 0.146
0.989 0.369 0.146
0.989 0.620 0.354

Be2TlRu (PBE-GGA, relaxed); uncorrected energy = -4.16 eV/atom; total magnetic moment = 0.00 μB/f.u.; density of states at the Fermi level = 1.89 states/eV/f.u.; calculated formation energy = 238.4 kJ/mol of formula units
1.0
0.000 3.050 3.050
3.050 0.000 3.050
3.050 3.050 0.000
Be Tl Ru
2 1 1
direct
0.000 0.000 0.000
0.250 0.250 0.250
0.750 0.750 0.750
0.500 0.500 0.500

Pr5Ni2Ge5 (PBE-GGA, relaxed); uncorrected energy = -5.57 eV/atom; total magnetic moment = 0.00 μB/f.u.; density of states at the Fermi level = 8.74 states/eV/f.u.; calculated formation energy = -802.1 kJ/mol of formula units
1.0
7.690 -2.117 0.000
7.690 2.117 0.000
-7.581 0.000 8.723
Pr Ni Ge
5 2 5
direct
0.000 0.000 0.000
0.307 0.307 0.420
0.376 0.376 0.182
0.624 0.624 0.818
0.693 0.693 0.580
0.390 0.390 0.745
0.610 0.610 0.255
0.000 0.000 0.500
0.064 0.064 0.314
0.297 0.297 0.854
0.703 0.703 0.146
0.936 0.936 0.686

LiTlSi (PBE-GGA, relaxed); uncorrected energy = -3.05 eV/atom; total magnetic moment = 0.00 μB/f.u.; density of states at the Fermi level = 1.00 states/eV/f.u.
1.0
4.877 0.000 0.000
-2.439 4.224 0.000
0.000 0.000 3.006
Li Tl Si
1 1 1
direct
0.000 0.000 0.000
0.333 0.667 0.500
0.667 0.333 0.500

- Which value of total magnetic moment does entry 1 give?
  0.83 μB/f.u.

- What is the formula in the sixth record?
  LiTlSi